# Ho2ErP3 | OQMD | PBE | optimized geometry
data_Ho2ErP3
_chemical_formula_sum 'Ho2 Er1 P3'
_symmetry_space_group_name_H-M 'P -3 m 1'
_symmetry_Int_Tables_number 164
_symmetry_space_group_name_Hall '-P 3 2"'
_cell_length_a 3.9772
_cell_length_b 3.9772
_cell_length_c 9.7556
_cell_angle_alpha 90.00
_cell_angle_beta 90.00
_cell_angle_gamma 120.00
loop_
_atom_site_label
_atom_site_type_symbol
_atom_site_fract_x
_atom_site_fract_y
_atom_site_fract_z
Ho1 Ho 0.3333 0.6667 0.3331
Er1 Er 0.0000 0.0000 0.0000
P1 P 0.0000 0.0000 0.5000
P2 P 0.3333 0.6667 0.8340
# E: -39.631 eV for the cell shown

# NdSiNO | OQMD | PBE | optimized geometry
data_NdSiNO
_chemical_formula_sum 'Nd2 Si2 N2 O2'
_symmetry_space_group_name_H-M 'P m c 21'
_symmetry_Int_Tables_number 26
_symmetry_space_group_name_Hall 'P 2c -2'
_cell_length_a 3.2987
_cell_length_b 5.2461
_cell_length_c 6.1996
_cell_angle_alpha 90.00
_cell_angle_beta 90.00
_cell_angle_gamma 90.00
loop_
_atom_site_label
_atom_site_type_symbol
_atom_site_fract_x
_atom_site_fract_y
_atom_site_fract_z
Nd1 Nd 0.0000 0.1788 0.0000
Si1 Si 0.5000 0.3628 0.5026
N1 N 0.0000 0.3143 0.3850
O1 O 0.5000 0.1206 0.6917
# ΔE to the lowest computed polymorph: 0.0000 eV/atom

# NaZrSiIr | OQMD | PBE | optimized geometry
data_NaZrSiIr
_chemical_formula_sum 'Na4 Zr4 Si4 Ir4'
_symmetry_space_group_name_H-M 'F -4 3 m'
_symmetry_Int_Tables_number 216
_symmetry_space_group_name_Hall 'F -4 2 3'
_cell_length_a 6.3804
_cell_length_b 6.3804
_cell_length_c 6.3804
_cell_angle_alpha 90.00
_cell_angle_beta 90.00
_cell_angle_gamma 90.00
loop_
_atom_site_label
_atom_site_type_symbol
_atom_site_fract_x
_atom_site_fract_y
_atom_site_fract_z
Na1 Na 0.0000 0.0000 0.0000
Zr1 Zr 0.2500 0.2500 0.7500
Si1 Si 0.2500 0.2500 0.2500
Ir1 Ir 0.0000 0.0000 0.5000
# ΔE to the lowest computed polymorph: 0.0000 eV/atom

# LaNbTe | OQMD | PBE | optimized geometry
data_LaNbTe
_chemical_formula_sum 'La4 Nb4 Te4'
_symmetry_space_group_name_H-M 'F -4 3 m'
_symmetry_Int_Tables_number 216
_symmetry_space_group_name_Hall 'F -4 2 3'
_cell_length_a 7.4650
_cell_length_b 7.4650
_cell_length_c 7.4650
_cell_angle_alpha 90.00
_cell_angle_beta 90.00
_cell_angle_gamma 90.00
loop_
_atom_site_label
_atom_site_type_symbol
_atom_site_fract_x
_atom_site_fract_y
_atom_site_fract_z
La1 La 0.0000 0.0000 0.0000
Nb1 Nb 0.2500 0.2500 0.7500
Te1 Te 0.2500 0.2500 0.2500
# ΔE to the lowest computed polymorph: 0.5401 eV/atom

| no. | V (Å³/atom) |
| --- | --- |
| 1 | 22.3 |
| 2 | 13.4 |
| 3 | 16.2 |
| 4 | 34.7 |